Entry 1:
The following is a DFT calculation (PBE-GGA) of TaTe2C after structural relaxation.

Output
- space group = R-3m (166)
- density of states at the Fermi level (states/eV/atom) = 0.778
- final energy (eV for the cell shown) = -22.33

Unit cell a=7.972 b=7.972 c=7.972 alpha=26.79 beta=26.79 gamma=26.79
Fractional positions:
Ta 0.000 0.000 0.000
Te 0.413 0.413 0.413
Te 0.587 0.587 0.587
C 0.500 0.500 0.500



Entry 2:
The following is a DFT calculation (PBE-GGA) of TaTeW2C after structural relaxation.

Output
- space group = P4/mmm (123)
- density of states at the Fermi level (states/eV/atom) = 0.715
- final energy (eV for the cell shown) = -47.60

Unit cell a=4.257 b=4.257 c=4.349 alpha=90.00 beta=90.00 gamma=90.00
Fractional positions:
Ta 0.000 0.000 0.000
Te 0.500 0.500 0.000
W 0.000 0.500 0.500
W 0.500 0.000 0.500
C 0.000 0.000 0.500



Entry 3:
The following is a DFT calculation (PBE-GGA) of Y2TaTeC after structural relaxation.

Output
- space group = P4/mmm (123)
- density of states at the Fermi level (states/eV/atom) = 0.492
- final energy (eV for the cell shown) = -39.02

Unit cell a=5.056 b=5.056 c=4.190 alpha=90.00 beta=90.00 gamma=90.00
Fractional positions:
Y 0.000 0.500 0.000
Y 0.500 0.000 0.000
Ta 0.000 0.000 0.500
Te 0.500 0.500 0.500
C 0.000 0.000 0.000



Entry 4:
The following is a DFT calculation (PBE-GGA) of Th4TaC4 after structural relaxation.

Output
- space group = C2/m (12)
- density of states at the Fermi level (states/eV/atom) = 0.537
- final energy (eV for the cell shown) = -80.92
- formation enthalpy at 0 K (eV/atom) = -0.28

Unit cell a=6.301 b=6.301 c=8.989 alpha=119.13 beta=119.13 gamma=32.81
Fractional positions:
Th 0.103 0.103 0.385
Th 0.295 0.295 0.187
Th 0.705 0.705 0.813
Th 0.897 0.897 0.615
Ta 0.500 0.500 0.000
C 0.087 0.087 0.916
C 0.317 0.317 0.727
C 0.683 0.683 0.273
C 0.913 0.913 0.084



Entry 5:
The following is a DFT calculation (PBE-GGA) of Th3TaC4 after structural relaxation.

Output
- space group = Pmn2_1 (31)
- density of states at the Fermi level (states/eV/atom) = 0.315
- final energy (eV for the cell shown) = -144.43
- formation enthalpy at 0 K (eV/atom) = -0.15

Unit cell a=7.797 b=7.188 c=5.692 alpha=90.00 beta=90.00 gamma=90.00
Fractional positions:
Th 0.000 0.132 0.000
Th 0.248 0.337 0.503
Th 0.252 0.663 0.003
Th 0.500 0.868 0.500
Th 0.748 0.663 0.003
Th 0.752 0.337 0.503
Ta 0.000 0.825 0.494
Ta 0.500 0.175 0.994
C 0.000 0.118 0.539
C 0.000 0.816 0.140
C 0.234 0.682 0.555
C 0.266 0.318 0.055
C 0.500 0.184 0.640
C 0.500 0.882 0.039
C 0.734 0.318 0.055
C 0.766 0.682 0.555



Entry 6:
The following is a DFT calculation (PBE-GGA) of TmThTaC3 after structural relaxation.

Output
- space group = P2_1/m (11)
- density of states at the Fermi level (states/eV/atom) = 0.373
- final energy (eV for the cell shown) = -107.38
- formation enthalpy at 0 K (eV/atom) = -0.38

Unit cell a=5.898 b=3.580 c=8.900 alpha=90.00 beta=102.05 gamma=90.00
Fractional positions:
Tm 0.233 0.250 0.450
Tm 0.767 0.750 0.550
Th 0.355 0.750 0.807
Th 0.645 0.250 0.193
Ta 0.132 0.750 0.137
Ta 0.868 0.250 0.863
C 0.045 0.250 0.676
C 0.223 0.250 0.024
C 0.435 0.750 0.321
C 0.565 0.250 0.679
C 0.777 0.750 0.976
C 0.955 0.750 0.324



Entry 7:
The following is a DFT calculation (PBE-GGA) of Tm2ThTaC4 after structural relaxation.

Output
- space group = Imma (74)
- density of states at the Fermi level (states/eV/atom) = 0.590
- final energy (eV for the cell shown) = -134.76
- formation enthalpy at 0 K (eV/atom) = -0.28

Unit cell a=6.978 b=6.978 c=6.978 alpha=120.53 beta=119.67 gamma=89.83
Fractional positions:
Tm 0.000 0.000 0.000
Tm 0.500 0.000 0.000
Tm 0.500 0.000 0.500
Tm 0.500 0.500 0.500
Th 0.000 0.500 0.500
Th 0.500 0.500 0.000
Ta 0.000 0.000 0.500
Ta 0.000 0.500 0.000
C 0.225 0.247 0.978
C 0.229 0.225 0.496
C 0.229 0.733 0.004
C 0.231 0.753 0.478
C 0.769 0.247 0.522
C 0.771 0.267 0.996
C 0.771 0.775 0.504
C 0.775 0.753 0.022



Entry 8:
The following is a DFT calculation (PBE-GGA) of TmTh2TaC4 after structural relaxation.

Output
- space group = Imma (74)
- density of states at the Fermi level (states/eV/atom) = 0.386
- final energy (eV for the cell shown) = -140.57
- formation enthalpy at 0 K (eV/atom) = -0.28

Unit cell a=7.104 b=7.104 c=7.104 alpha=120.80 beta=119.46 gamma=89.78
Fractional positions:
Tm 0.000 0.000 0.000
Tm 0.500 0.000 0.500
Th 0.000 0.500 0.500
Th 0.500 0.000 0.000
Th 0.500 0.500 0.000
Th 0.500 0.500 0.500
Ta 0.000 0.000 0.500
Ta 0.000 0.500 0.000
C 0.217 0.246 0.971
C 0.225 0.754 0.471
C 0.230 0.227 0.497
C 0.230 0.733 0.003
C 0.770 0.267 0.997
C 0.770 0.773 0.503
C 0.775 0.246 0.529
C 0.783 0.754 0.029



no.,total magnetization (μB per cell)
1,0.6
2,0.0
3,0.0
4,0.0
5,0.0
6,0.0
7,0.0
8,0.0